[1]
LiTlBr2 PBE-GGA optimized geometry; offset from the most stable computed form = 38 meV/atom; N(E_F) = 0.00 states/eV/cell; calculated volume = 114 Å³/cell; raw total energy = -3.043 eV per atom
1.0
4.1638 0.0000 0.0000
-2.0819 3.6059 0.0000
0.0000 0.0000 7.6170
Li Tl Br
1 1 2
direct
0.0000 0.0000 0.5000
0.0000 0.0000 0.0000
0.3333 0.6667 0.3028
0.6667 0.3333 0.6972



[2]
LiTl2Br PBE-GGA optimized geometry; offset from the most stable computed form = 157 meV/atom; N(E_F) = 1.07 states/eV/cell; calculated volume = 118 Å³/cell; raw total energy = -2.502 eV per atom
1.0
-3.5411 0.5857 3.0676
-2.0460 -3.9530 -5.2049
0.3543 -3.9073 1.2261
Br Li Tl
1 1 2
direct
0.0000 0.5000 0.5000
0.5000 0.5000 0.0000
0.0000 0.0000 0.0000
0.5000 0.0000 0.5000



[3]
LiTlBr2 PBE-GGA optimized geometry; offset from the most stable computed form = 252 meV/atom; N(E_F) = 0.00 states/eV/cell; calculated volume = 136 Å³/cell; raw total energy = -2.829 eV per atom
1.0
7.8203 -0.0108 0.0000
5.4108 5.6463 0.0000
-6.6155 -2.8177 3.0745
Br Li Tl
2 1 1
direct
0.0000 0.0000 0.0000
0.2500 0.7500 0.5000
0.5000 0.5000 0.0000
0.7500 0.2500 0.5000



[4]
LiTl2Br PBE-GGA optimized geometry; offset from the most stable computed form = 119 meV/atom; N(E_F) = 1.28 states/eV/cell; calculated volume = 112 Å³/cell; raw total energy = -2.540 eV per atom
1.0
-1.6354 -0.8379 -6.1764
-0.9900 -4.0958 -4.8753
-5.4412 -1.5097 -1.0809
Br Li Tl
1 1 2
direct
0.5497 0.5497 0.4402
0.2095 0.2095 0.3024
0.9787 0.9787 0.0106
0.7620 0.7620 0.7469



[5]
LiTlBr2 PBE-GGA optimized geometry; offset from the most stable computed form = 11 meV/atom; N(E_F) = 0.00 states/eV/cell; calculated volume = 256 Å³/cell; raw total energy = -3.070 eV per atom
1.0
-3.4291 1.1074 -2.6873
-2.4609 -2.7494 2.0072
-3.7108 9.6944 8.7299
Li Tl Br
2 2 4
direct
0.0000 0.0000 0.8643
0.0000 0.5000 0.3643
0.5000 0.0000 0.6371
0.5000 0.5000 0.1371
0.0000 0.0000 0.2471
0.0000 0.5000 0.7471
0.5000 0.0000 0.9536
0.5000 0.5000 0.4536



[6]
LiTlBr2 PBE-GGA optimized geometry; offset from the most stable computed form = 43 meV/atom; N(E_F) = 0.00 states/eV/cell; calculated volume = 137 Å³/cell; raw total energy = -3.038 eV per atom
1.0
6.8854 0.0232 -0.0241
5.5678 4.0509 -0.0241
-0.1550 -0.0507 4.9175
Tl Br Li
1 2 1
direct
0.2632 0.2632 0.1613
0.9869 0.9869 0.2203
0.7113 0.7113 0.6636
0.5386 0.5386 0.4548



[7]
LiTl2Br PBE-GGA optimized geometry; offset from the most stable computed form = 353 meV/atom; N(E_F) = 3.22 states/eV/cell; calculated volume = 110 Å³/cell; raw total energy = -2.306 eV per atom
1.0
-1.7565 1.8919 -8.4924
-2.5806 -1.8513 -8.2884
-5.1747 0.7485 -7.1727
Br Li Tl
1 1 2
direct
0.2500 0.2500 0.2500
0.7500 0.7500 0.7500
0.0071 0.0071 0.0071
0.4929 0.4929 0.4929



[8]
LiTl2Br PBE-GGA optimized geometry; offset from the most stable computed form = 191 meV/atom; N(E_F) = 2.08 states/eV/cell; calculated volume = 122 Å³/cell; raw total energy = -2.467 eV per atom
1.0
6.4267 0.0000 0.0000
0.0000 4.3604 0.0000
0.0000 0.0000 4.3604
Br Li Tl
1 1 2
direct
0.5000 0.5000 0.0000
0.5000 0.0000 0.5000
0.0000 0.0000 0.0000
0.0000 0.5000 0.5000